1.
VASP calculation (PBE) on ZrSi after structural relaxation.

Values from the calculation:
formation energy from raw total energies	-1.43	eV/f.u.
V	286	Å³ per cell

POSCAR file:
```
ZrSi
1.0
5.2513 0.0000 0.0000
0.0000 5.3692 0.0000
0.0000 0.0000 10.1468
Zr Si
8 8
Cartesian
0.6680 0.4478 0.2671
0.7736 3.4459 8.2006
1.8520 1.9232 3.1272
1.9577 4.9213 5.3405
3.2936 2.2367 9.8797
3.3993 4.6078 1.9462
4.4777 0.7613 7.0196
4.5833 3.1324 4.8063
0.7886 3.1224 0.7786
0.8441 4.6003 2.8280
1.7815 0.7689 7.9014
1.8370 2.2467 5.8520
3.4143 4.9313 9.3682
3.4697 3.4535 7.3188
4.4072 1.9157 2.2454
4.4626 0.4379 4.2948
```


2.
VASP calculation (PBE) on HoAg2SO6 after structural relaxation.

Values from the calculation:
formation energy from raw total energies	-9.86	eV/f.u.
V	165	Å³ per cell

POSCAR file:
```
HoAg2SO6
1.0
5.8192 0.0000 0.0000
-2.9096 5.0396 0.0000
0.0000 0.0000 5.6254
Ho Ag S O
1 2 1 6
Cartesian
0.0000 0.0000 0.0000
0.0000 3.3597 2.9094
2.9096 1.6799 2.7160
0.0000 0.0000 2.8127
0.0000 1.3662 1.8024
-1.7265 4.3565 1.8024
1.1831 0.6831 3.8230
1.7265 4.3565 1.8024
4.6361 0.6831 3.8230
2.9096 3.6734 3.8230
```


3.
VASP calculation (PBE) on KTlZn2Sb2 after structural relaxation.

Values from the calculation:
formation energy from raw total energies	-1.32	eV/f.u.
V	188	Å³ per cell

POSCAR file:
```
KTlZn2Sb2
1.0
4.5649 0.0000 0.0000
-2.2825 3.9533 0.0000
0.0000 0.0000 10.4070
K Tl Zn Sb
1 1 2 2
Cartesian
0.0000 0.0000 0.0000
0.0000 0.0000 5.2035
0.0000 2.6356 7.6598
2.2825 1.3178 2.7472
0.0000 2.6356 2.6717
2.2825 1.3178 7.7353
```


4.
VASP calculation (PBE) on Zr2IrW after structural relaxation.

Values from the calculation:
V	71	Å³ per cell
calculated formation energy	-0.17	eV per atom

POSCAR file:
```
Zr2IrW
1.0
0.0000 3.2906 3.2906
3.2906 0.0000 3.2906
3.2906 3.2906 0.0000
Zr Ir W
2 1 1
Cartesian
0.0000 0.0000 0.0000
1.6453 1.6453 1.6453
3.2906 3.2906 3.2906
4.9359 4.9359 4.9359
```


Copy entry 4 word for word.
VASP calculation (PBE) on Zr2IrW after structural relaxation.

Values from the calculation:
V	71	Å³ per cell
calculated formation energy	-0.17	eV per atom

POSCAR file:
```
Zr2IrW
1.0
0.0000 3.2906 3.2906
3.2906 0.0000 3.2906
3.2906 3.2906 0.0000
Zr Ir W
2 1 1
Cartesian
0.0000 0.0000 0.0000
1.6453 1.6453 1.6453
3.2906 3.2906 3.2906
4.9359 4.9359 4.9359
```


- Among the records above, which one has the highest V?
  ZrSi


- The lowest V belongs to which entry?
  Zr2IrW


- Among the records above, which one has the highest V?
  ZrSi